Computed, not measured: crystalline Ac2FeAsO6 at its relaxed geometry at the PBE+U level of DFT.

Properties
Energy in eV per atom: -7.096
Calculated volume in A^3/atom: 14.688

Lattice parameters (Å, degrees): 5.670 5.670 4.569 90.00 90.00 90.00
Space group P4mm (No. 99)
One atom of each set of equivalent atoms:
Ac 0.000 0.500 0.000
Fe 0.000 0.000 0.549
As 0.500 0.500 0.596
O 0.000 0.000 0.131
O 0.243 0.243 0.649
O 0.500 0.500 0.004